1.
PBE Ce3HfPd12, optimized geometry; calculated formation energy = -825 meV per atom; total energy = -6.45 eV/atom
1.0
4.123 0.000 0.000
0.000 4.123 0.000
0.000 0.000 16.510
Ce Hf Pd
3 1 12
Direct
0.000 0.000 0.000
0.000 0.000 0.254
0.000 0.000 0.746
0.000 0.000 0.500
0.000 0.500 0.127
0.000 0.500 0.383
0.000 0.500 0.617
0.000 0.500 0.873
0.500 0.000 0.127
0.500 0.000 0.383
0.500 0.000 0.617
0.500 0.000 0.873
0.500 0.500 0.000
0.500 0.500 0.256
0.500 0.500 0.500
0.500 0.500 0.744

***

2.
PBE Ta3NiBi, optimized geometry; calculated formation energy = 2666 meV per atom; total energy = -6.38 eV/atom
1.0
5.095 0.000 0.000
0.000 5.095 0.000
0.000 0.000 5.095
Ta Ni Bi
3 1 1
Direct
0.000 0.000 0.500
0.000 0.500 0.000
0.500 0.000 0.000
0.500 0.500 0.500
0.000 0.000 0.000

***

3.
PBE TiIBr2, optimized geometry; total energy = -3.69 eV/atom; energy relative to the elements, uncorrected = -0.493 eV per atom
1.0
7.702 0.000 0.000
0.000 7.702 0.000
0.000 0.000 10.165
Ti I Br
4 4 8
Direct
0.000 0.000 0.000
0.000 0.500 0.250
0.500 0.000 0.750
0.500 0.500 0.500
0.000 0.000 0.500
0.000 0.500 0.750
0.500 0.000 0.250
0.500 0.500 0.000
0.118 0.250 0.125
0.250 0.618 0.375
0.250 0.882 0.875
0.382 0.250 0.625
0.618 0.750 0.625
0.750 0.118 0.875
0.750 0.382 0.375
0.882 0.750 0.125

***

4.
PBE NaTiHg2, optimized geometry; calculated formation energy = 294 meV per atom; total energy = -2.16 eV/atom
1.0
3.166 0.000 0.000
-1.583 2.742 0.000
0.000 0.000 33.171
Na Ti Hg
3 3 6
Direct
0.000 0.000 0.000
0.333 0.667 0.667
0.667 0.333 0.333
0.000 0.000 0.500
0.333 0.667 0.167
0.667 0.333 0.833
0.000 0.000 0.413
0.000 0.000 0.587
0.333 0.667 0.080
0.333 0.667 0.253
0.667 0.333 0.747
0.667 0.333 0.920

***

5.
PBE Er7Mg2Sc, optimized geometry; calculated formation energy = 593 meV per atom; total energy = -3.55 eV/atom
1.0
4.380 -8.159 0.000
4.380 8.159 0.000
0.000 0.000 5.004
Er Mg Sc
7 2 1
Direct
0.000 0.000 0.000
0.211 0.428 0.000
0.296 0.704 0.500
0.428 0.211 0.000
0.572 0.789 0.000
0.704 0.296 0.500
0.789 0.572 0.000
0.198 0.802 0.000
0.802 0.198 0.000
0.500 0.500 0.500

***

6.
PBE HfMgBi3, optimized geometry; calculated formation energy = 338 meV per atom; total energy = -4.30 eV/atom
1.0
5.644 0.000 0.000
0.000 5.644 0.000
0.000 0.000 5.644
Hf Mg Bi
1 1 3
Direct
0.000 0.000 0.000
0.500 0.500 0.500
0.000 0.000 0.500
0.000 0.500 0.000
0.500 0.000 0.000